Below is an optimized crystal structure of Na2PuTiS4, with properties calculated at the PBE level.

ΔE_f (raw) ... -1.42 eV per atom
Volume ... 20.94 Å³ per atom
Magnetic moment ... 6.004 μB per formula unit

abc: 6.5627 3.8215 7.0324
angles: 90.00 108.25 90.00
Fractional coordinates of all 8 atoms:
Na 0.0000 0.0000 0.0000
Na 0.5000 0.5000 0.0000
Pu 0.0000 0.5000 0.5000
Ti 0.5000 0.0000 0.5000
S 0.2621 0.0000 0.7234
S 0.2808 0.5000 0.2863
S 0.7192 0.5000 0.7137
S 0.7379 0.0000 0.2766

Below is an optimized crystal structure of Na3Pu3TlS8, with properties calculated at the PBE level.

ΔE_f (raw) ... -1.24 eV per atom
Volume ... 24.65 Å³ per atom
Magnetic moment ... 13.809 μB per formula unit

abc: 8.0708 8.0708 8.0708
angles: 59.77 59.77 59.77
Fractional coordinates of all 15 atoms:
Na 0.0000 0.5000 0.5000
Na 0.5000 0.0000 0.5000
Na 0.5000 0.5000 0.0000
Pu 0.0000 0.0000 0.5000
Pu 0.0000 0.5000 0.0000
Pu 0.5000 0.0000 0.0000
Tl 0.5000 0.5000 0.5000
S 0.2299 0.7470 0.7470
S 0.2417 0.2417 0.2417
S 0.2530 0.2530 0.7701
S 0.2530 0.7701 0.2530
S 0.7470 0.2299 0.7470
S 0.7470 0.7470 0.2299
S 0.7583 0.7583 0.7583
S 0.7701 0.2530 0.2530

Below is an optimized crystal structure of Na3TmPu2S6, with properties calculated at the PBE level.

ΔE_f (raw) ... -1.64 eV per atom
Volume ... 23.09 Å³ per atom
Magnetic moment ... 10.000 μB per formula unit

abc: 6.9403 6.9403 7.0343
angles: 99.47 99.47 120.00
Fractional coordinates of all 12 atoms:
Na 0.0000 0.0000 0.0000
Na 0.3331 0.6669 0.0000
Na 0.6669 0.3331 0.0000
Tm 0.5000 0.5000 0.5000
Pu 0.1667 0.8333 0.5000
Pu 0.8333 0.1667 0.5000
S 0.0960 0.4246 0.2740
S 0.2466 0.2466 0.7255
S 0.4246 0.0960 0.2740
S 0.5754 0.9040 0.7260
S 0.7534 0.7534 0.2745
S 0.9040 0.5754 0.7260

Below is an optimized crystal structure of Na3Tm3PuS8, with properties calculated at the PBE level.

ΔE_f (raw) ... -1.74 eV per atom
Volume ... 24.05 Å³ per atom
Magnetic moment ... 4.000 μB per formula unit

abc: 8.1083 8.1083 8.1083
angles: 58.12 58.12 58.12
Fractional coordinates of all 15 atoms:
Na 0.0000 0.5000 0.5000
Na 0.5000 0.0000 0.5000
Na 0.5000 0.5000 0.0000
Tm 0.0000 0.0000 0.5000
Tm 0.0000 0.5000 0.0000
Tm 0.5000 0.0000 0.0000
Pu 0.5000 0.5000 0.5000
S 0.2411 0.2411 0.2411
S 0.2419 0.7383 0.7383
S 0.2617 0.2617 0.7581
S 0.2617 0.7581 0.2617
S 0.7383 0.2419 0.7383
S 0.7383 0.7383 0.2419
S 0.7581 0.2617 0.2617
S 0.7589 0.7589 0.7589

Below is an optimized crystal structure of Na2Tm2PuS6, with properties calculated at the PBE level.

ΔE_f (raw) ... -1.70 eV per atom
Volume ... 24.70 Å³ per atom
Magnetic moment ... 4.000 μB per formula unit

abc: 6.8222 6.8222 7.1098
angles: 99.17 99.17 119.99
Fractional coordinates of all 11 atoms:
Na 0.1679 0.8321 0.0000
Na 0.8321 0.1679 0.0000
Tm 0.3339 0.6661 0.5000
Tm 0.6661 0.3339 0.5000
Pu 0.0000 0.0000 0.5000
S 0.0689 0.4034 0.7184
S 0.2550 0.2550 0.2819
S 0.4034 0.0689 0.7184
S 0.5966 0.9311 0.2816
S 0.7450 0.7450 0.7181
S 0.9311 0.5966 0.2816

Below is an optimized crystal structure of NaTm4PuS8, with properties calculated at the PBE level.

ΔE_f (raw) ... -1.86 eV per atom
Volume ... 26.23 Å³ per atom
Magnetic moment ... 5.000 μB per formula unit

abc: 8.0908 8.0908 8.0908
angles: 59.15 59.15 59.15
Fractional coordinates of all 14 atoms:
Na 0.0000 0.0000 0.0000
Tm 0.1135 0.6313 0.6313
Tm 0.2526 0.2526 0.2526
Tm 0.6313 0.1135 0.6313
Tm 0.6313 0.6313 0.1135
Pu 0.6297 0.6297 0.6297
S 0.3794 0.3794 0.8548
S 0.3794 0.8548 0.3794
S 0.3846 0.3846 0.3846
S 0.4111 0.8682 0.8682
S 0.8548 0.3794 0.3794
S 0.8650 0.8650 0.8650
S 0.8682 0.4111 0.8682
S 0.8682 0.8682 0.4111

Below is an optimized crystal structure of Na2PuUS4, with properties calculated at the PBE level.

ΔE_f (raw) ... -1.47 eV per atom
Volume ... 23.27 Å³ per atom
Magnetic moment ... 8.000 μB per formula unit

abc: 6.9665 4.0093 7.0513
angles: 90.00 109.06 90.00
Fractional coordinates of all 8 atoms:
Na 0.0000 0.0000 0.0000
Na 0.5000 0.5000 0.0000
Pu 0.0000 0.5000 0.5000
U 0.5000 0.0000 0.5000
S 0.2483 0.0000 0.7273
S 0.2621 0.5000 0.2721
S 0.7379 0.5000 0.7279
S 0.7517 0.0000 0.2727

Below is an optimized crystal structure of Na3Pu2US6, with properties calculated at the PBE level.

ΔE_f (raw) ... -1.51 eV per atom
Volume ... 23.35 Å³ per atom
Magnetic moment ... 13.000 μB per formula unit

abc: 6.9825 6.9825 7.0317
angles: 99.53 99.53 120.00
Fractional coordinates of all 12 atoms:
Na 0.0000 0.0000 0.0000
Na 0.3325 0.6675 0.0000
Na 0.6675 0.3325 0.0000
Pu 0.1667 0.8333 0.5000
Pu 0.8333 0.1667 0.5000
U 0.5000 0.5000 0.5000
S 0.0981 0.4244 0.2730
S 0.2491 0.2491 0.7258
S 0.4244 0.0981 0.2730
S 0.5756 0.9019 0.7270
S 0.7509 0.7509 0.2742
S 0.9019 0.5756 0.7270

Below is an optimized crystal structure of Na3Pu3US8, with properties calculated at the PBE level.

ΔE_f (raw) ... -1.53 eV per atom
Volume ... 25.02 Å³ per atom
Magnetic moment ... 17.000 μB per formula unit

abc: 8.1175 8.1175 8.1175
angles: 59.66 59.66 59.66
Fractional coordinates of all 15 atoms:
Na 0.0000 0.5000 0.5000
Na 0.5000 0.0000 0.5000
Na 0.5000 0.5000 0.0000
Pu 0.0000 0.0000 0.5000
Pu 0.0000 0.5000 0.0000
Pu 0.5000 0.0000 0.0000
U 0.5000 0.5000 0.5000
S 0.2416 0.2416 0.2416
S 0.2500 0.7339 0.7339
S 0.2661 0.2661 0.7500
S 0.2661 0.7500 0.2661
S 0.7339 0.2500 0.7339
S 0.7339 0.7339 0.2500
S 0.7500 0.2661 0.2661
S 0.7584 0.7584 0.7584

Below is an optimized crystal structure of NaPu2US4, with properties calculated at the PBE level.

ΔE_f (raw) ... -1.51 eV per atom
Volume ... 21.82 Å³ per atom
Magnetic moment ... 2.383 μB per formula unit

abc: 6.8080 3.9047 6.9458
angles: 90.00 109.03 90.00
Fractional coordinates of all 8 atoms:
Na 0.0000 0.0000 0.0000
Pu 0.5000 0.0000 0.5000
Pu 0.5000 0.5000 0.0000
U 0.0000 0.5000 0.5000
S 0.2488 0.0000 0.7471
S 0.2506 0.5000 0.2583
S 0.7494 0.5000 0.7417
S 0.7512 0.0000 0.2529

Below is an optimized crystal structure of Na4Pu3US8, with properties calculated at the PBE level.

ΔE_f (raw) ... -1.52 eV per atom
Volume ... 23.37 Å³ per atom
Magnetic moment ... 18.000 μB per formula unit

abc: 8.1029 8.1029 8.1029
angles: 59.75 59.75 59.75
Fractional coordinates of all 16 atoms:
Na 0.0000 0.0000 0.0000
Na 0.0000 0.5000 0.5000
Na 0.5000 0.0000 0.5000
Na 0.5000 0.5000 0.0000
Pu 0.0000 0.0000 0.5000
Pu 0.0000 0.5000 0.0000
Pu 0.5000 0.0000 0.0000
U 0.5000 0.5000 0.5000
S 0.2422 0.2422 0.2422
S 0.2484 0.7388 0.7388
S 0.2612 0.2612 0.7516
S 0.2612 0.7516 0.2612
S 0.7388 0.2484 0.7388
S 0.7388 0.7388 0.2484
S 0.7516 0.2612 0.2612
S 0.7578 0.7578 0.7578

Below is an optimized crystal structure of Na2PuUS5, with properties calculated at the PBE level.

ΔE_f (raw) ... -0.96 eV per atom
Volume ... 27.88 Å³ per atom
Magnetic moment ... 6.000 μB per formula unit

abc: 4.9044 4.9044 10.4310
angles: 90.00 90.00 90.00
Fractional coordinates of all 9 atoms:
Na 0.0000 0.0000 0.2176
Na 0.0000 0.0000 0.7824
Pu 0.5000 0.5000 0.0000
U 0.5000 0.5000 0.5000
S 0.0000 0.0000 0.5000
S 0.0000 0.5000 0.0000
S 0.5000 0.0000 0.0000
S 0.5000 0.5000 0.2607
S 0.5000 0.5000 0.7393

- Among the records above, which one has the highest volume?
  Na2PuUS5

- Which of these has the highest volume?
  Na2PuUS5

- What is the ΔE_f (raw) in the eighth record?
  -1.51 eV per atom

- Which of these has the lowest magnetic moment?
  NaPu2US4